Record 1
The following is a GGA-PBE calculation of crystalline SrNd8Y4 at its relaxed geometry, from Alexandria via LeMat-Bulk.

The value obtained for the total magnetization is 0.0 μB per formula unit. The formation energy from the elements comes out at 0.73 eV per formula unit. The calculation puts the energy at -64.95 eV per formula unit.

The structure belongs to space group C2/m (No. 12); the cell edges are 11.644, 5.195 and 15.203 Å and the angles 90.00°, 94.12° and 90.00°. The distinct sites, in fractional coordinates, are Sr at (0.000, 0.000, 0.000), Nd at (0.040, 0.500, 0.387), Nd at (0.075, 0.000, 0.762), Nd at (0.193, 0.500, 0.917), Nd at (0.234, 0.000, 0.311), Y at (0.124, 0.500, 0.162) and Y at (0.152, 0.000, 0.537).

Record 2
The following is a GGA-PBE calculation of crystalline TlZnSn2 at its relaxed geometry, from Alexandria via LeMat-Bulk.

Its energy above the most stable polymorph in this dataset is 0 meV/atom. The value obtained for the total magnetization is 0.0 μB per formula unit. The formation energy from the elements comes out at 0.27 eV per formula unit. The calculation puts the energy at -11.38 eV per formula unit.

The structure belongs to space group P4/mmm (No. 123); the cell edges are 3.651, 3.651 and 7.825 Å and the angles 90.00°, 90.00° and 90.00°. The distinct sites, in fractional coordinates, are Tl at (0.000, 0.000, 0.000), Zn at (0.000, 0.000, 0.500) and Sn at (0.500, 0.500, 0.300).

Record 3
The following is a GGA-PBE calculation of crystalline NaSb2IO at its relaxed geometry, from Alexandria via LeMat-Bulk.

Its energy above the most stable polymorph in this dataset is 0 meV/atom. The value obtained for the total magnetization is 0.0 μB per formula unit. The raw formation energy is -0.3391 eV per atom. The calculation puts the energy at -17.77 eV per formula unit.

The structure belongs to space group P4/mmm (No. 123); the cell edges are 4.502, 4.502 and 7.854 Å and the angles 90.00°, 90.00° and 90.00°. The distinct sites, in fractional coordinates, are Na at (0.000, 0.000, 0.000), Sb at (0.000, 0.500, 0.500), I at (0.500, 0.500, 0.000) and O at (0.500, 0.500, 0.500).

Record 4
The following is a GGA-PBE calculation of crystalline Li3MoPd12 at its relaxed geometry, from Alexandria via LeMat-Bulk.

The value obtained for the total magnetization is 0.0 μB per formula unit. The formation energy from the elements comes out at -3.39 eV per formula unit. The calculation puts the energy at -82.28 eV per formula unit.

The structure belongs to space group P4/mmm (No. 123); the cell edges are 3.912, 3.912 and 15.549 Å and the angles 90.00°, 90.00° and 90.00°. The distinct sites, in fractional coordinates, are Li at (0.000, 0.000, 0.000), Li at (0.000, 0.000, 0.245), Mo at (0.000, 0.000, 0.500), Pd at (0.000, 0.500, 0.124), Pd at (0.000, 0.500, 0.376), Pd at (0.500, 0.500, 0.000), Pd at (0.500, 0.500, 0.249) and Pd at (0.500, 0.500, 0.500).

Record 5
The following is a GGA-PBE calculation of crystalline LaPm3Rh2 at its relaxed geometry, from Alexandria via LeMat-Bulk.

The value obtained for the total magnetization is 0.0 μB per formula unit. The formation energy from the elements comes out at -2.97 eV per formula unit. The calculation puts the energy at -36.85 eV per formula unit.

The structure belongs to space group Ibam (No. 72); the cell edges are 6.959, 13.925 and 7.261 Å and the angles 90.00°, 90.00° and 90.00°. The distinct sites, in fractional coordinates, are La at (0.000, 0.000, 0.000), Pm at (0.000, 0.239, 0.250), Pm at (0.000, 0.500, 0.250) and Rh at (0.222, 0.366, 0.000).

Record 6
The following is a GGA-PBE calculation of crystalline SrReN3 at its relaxed geometry, from Alexandria via LeMat-Bulk.

The value obtained for the total magnetization is 0.0 μB per formula unit. The raw formation energy is -0.5190 eV per atom. The calculation puts the energy at -41.70 eV per formula unit.

The structure belongs to space group C2/c (No. 15); the cell edges are 11.114, 10.530 and 6.288 Å and the angles 90.00°, 107.50° and 90.00°. The distinct sites, in fractional coordinates, are Sr at (0.000, 0.092, 0.250), Sr at (0.000, 0.314, 0.750), Re at (0.210, 0.414, 0.247), N at (0.123, 0.109, 0.666), N at (0.135, 0.268, 0.168) and N at (0.156, 0.486, 0.483).

Record 7
The following is a GGA-PBE calculation of crystalline HoErTm2 at its relaxed geometry, from Alexandria via LeMat-Bulk.

Its energy above the most stable polymorph in this dataset is 29 meV/atom. The value obtained for the total magnetization is 0.0 μB per formula unit. The formation energy from the elements comes out at 0.10 eV per formula unit. The calculation puts the energy at -17.98 eV per formula unit.

The structure belongs to space group R-3m (No. 166, hexagonal axes); the cell edges are 3.4962, 3.4962 and 34.1471 Å and the angles 90.00°, 90.00° and 120.00°. The distinct sites, in fractional coordinates, are Ho at (0.0000, 0.0000, 0.0000), Er at (0.0000, 0.0000, 0.5000) and Tm at (0.0000, 0.0000, 0.2498).

Record 8
The following is a GGA-PBE calculation of crystalline SrTeAsC2 at its relaxed geometry, from Alexandria via LeMat-Bulk.

The value obtained for the total magnetization is 2.0 μB per formula unit. The raw formation energy is 1.4271 eV per atom. The calculation puts the energy at -20.79 eV per formula unit.

The structure belongs to space group P4/mmm (No. 123); the cell edges are 4.373, 4.373 and 5.709 Å and the angles 90.00°, 90.00° and 90.00°. The distinct sites, in fractional coordinates, are Sr at (0.000, 0.000, 0.000), Te at (0.500, 0.500, 0.000), As at (0.500, 0.500, 0.500) and C at (0.000, 0.500, 0.500).

Record 9
The following is a GGA-PBE calculation of crystalline NdCuPd3 at its relaxed geometry, from Alexandria via LeMat-Bulk.

Its energy above the most stable polymorph in this dataset is 0 meV/atom. The value obtained for the total magnetization is 0.0 μB per formula unit. The formation energy from the elements comes out at -2.39 eV per formula unit. The calculation puts the energy at -26.83 eV per formula unit.

The structure belongs to space group Imma (No. 74); the cell edges are 5.409, 7.841 and 8.848 Å and the angles 90.00°, 90.00° and 90.00°. The distinct sites, in fractional coordinates, are Nd at (0.000, 0.250, 0.003), Cu at (0.000, 0.000, 0.500), Pd at (0.000, 0.250, 0.678) and Pd at (0.250, 0.051, 0.250).